The following is a SCAN calculation of a PBEsol-optimized structure of CrIn2Au, from Alexandria.

Properties
* uncorrected energy: -38.547 eV/atom
* calculated density: 10.4 Mg/m³
* spin magnetization: 16.5 Bohr magnetons per cell
* calculated formation energy: 0.0319 eV/atom
* density of states at the Fermi level: 5.977 states/eV per cell

Cell and atoms, written as extended XYZ:
```
16
Lattice="6.726 0.000 0.000 0.000 6.726 0.000 0.000 0.000 6.726" Properties=species:S:1:pos:R:3 pbc="T T T"
Cr 0.000 0.000 0.000
Cr 0.000 3.363 3.363
Cr 3.363 0.000 3.363
Cr 3.363 3.363 0.000
In 0.000 0.000 3.363
In 0.000 3.363 0.000
In 1.681 1.681 5.044
In 1.681 5.044 1.681
In 3.363 0.000 0.000
In 3.363 3.363 3.363
In 5.044 1.681 1.681
In 5.044 5.044 5.044
Au 1.681 1.681 1.681
Au 1.681 5.044 5.044
Au 5.044 1.681 5.044
Au 5.044 5.044 1.681
```